This record from Alexandria describes an optimized crystal structure of AcCrO4. The functional is GGA+U.

Output
Total magnetization in μB/f.u.: 1.00
Volume in Å³/atom: 16.6
Total energy in Ry per atom: -0.557

a = 6.3988 Å, b = 6.3988 Å, c = 6.3988 Å
α = 105.95°, β = 105.95°, γ = 116.76°
Closest atoms and distances in Å follow each position.
Positions (direct):
O: 0.1638 0.3396 0.8242  1 Cr 1.73
O: 0.6604 0.8362 0.1758  1 Cr 1.73
O: 0.5154 0.3396 0.1758  1 Cr 1.73
O: 0.6604 0.4846 0.8242  1 Cr 1.73
O: 0.2346 0.9104 0.3242  1 Cr 1.73
O: 0.5862 0.9104 0.6758  1 Cr 1.73
O: 0.0896 0.7654 0.6758  1 Cr 1.73
O: 0.0896 0.4138 0.3242  1 Cr 1.73
Cr: 0.2500 0.7500 0.5000  4 O 1.73
Cr: 0.5000 0.5000 0.0000  4 O 1.73
Ac: 0.7500 0.2500 0.5000  8 O 2.57-2.65
Ac: 0.0000 0.0000 0.0000  8 O 2.57-2.65